No. 1
SiHgAs2O8 after structural relaxation, computed with PBE-GGA.

Summary:
Electronic total energy ... -5.7209 eV per atom
Magnetic moment ... 0.0 μB per cell

a = 5.392 Å, b = 5.485 Å, c = 7.329 Å
α = 54.82°, β = 68.42°, γ = 60.56°
Atoms (fractional coordinates):
O 0.866 0.442 0.826
O 0.852 0.982 0.819
O 0.148 0.018 0.181
O 0.347 0.982 0.819
O 0.661 0.467 0.210
O 0.339 0.533 0.790
O 0.134 0.558 0.174
O 0.653 0.018 0.181
As 0.678 0.716 0.927
As 0.322 0.284 0.073
Si 0.000 0.000 0.000
Hg 0.500 0.500 0.500

No. 2
SnHgAs2O8 after structural relaxation, computed with PBE-GGA.

Summary:
DOS(E_F) ... 4.991 states/eV/f.u.
Electronic total energy ... -5.4624 eV per atom
Magnetic moment ... 0.1 μB per cell

a = 4.983 Å, b = 4.983 Å, c = 8.043 Å
α = 71.96°, β = 71.96°, γ = 60.00°
Atoms (fractional coordinates):
O 0.274 0.950 0.167
O 0.726 0.050 0.833
O 0.822 0.822 0.533
O 0.392 0.726 0.833
O 0.178 0.178 0.467
O 0.950 0.608 0.167
O 0.608 0.274 0.167
O 0.050 0.392 0.833
Hg 0.500 0.500 0.500
Sn 0.000 0.000 0.000
As 0.254 0.254 0.238
As 0.746 0.746 0.762

No. 3
SrHgAsO4 after structural relaxation, computed with PBE-GGA.

Summary:
DOS(E_F) ... 1.864 states/eV/f.u.
Electronic total energy ... -5.2729 eV per atom
Magnetic moment ... 0.0 μB per cell

a = 6.137 Å, b = 6.836 Å, c = 6.836 Å
α = 68.78°, β = 63.33°, γ = 63.33°
Atoms (fractional coordinates):
As 0.627 0.623 0.123
As 0.373 0.377 0.877
O 0.252 0.267 0.767
O 0.274 0.288 0.163
O 0.714 0.267 0.767
O 0.748 0.733 0.233
O 0.726 0.712 0.837
O 0.274 0.663 0.788
O 0.726 0.337 0.212
O 0.286 0.733 0.233
Hg 0.500 0.000 0.500
Hg 0.000 0.000 0.500
Sr 0.000 0.000 0.000
Sr 0.000 0.500 0.500